Entry 1:
A plane-wave DFT calculation with PBE was carried out for an optimized crystal structure of NaTlF2.

Formation energy (no corrections), eV per atom: -2.181
Distance to the lowest polymorph of the same formula, eV/atom: 0.011

a = 6.0281 Å, b = 6.0281 Å, c = 8.2170 Å
α = 90.00°, β = 90.02°, γ = 90.00°
Space group C2/m (No. 12)
Symmetry-distinct sites (fractional):
Na 0.2500 0.0000 0.0849 (multiplicity 4)
Tl 0.2504 0.0000 0.6712 (multiplicity 4)
F 0.0000 0.2500 0.0000 (multiplicity 4)
F 0.2491 0.5000 0.6358 (multiplicity 4)


Entry 2:
A plane-wave DFT calculation with PBE was carried out for an optimized crystal structure of Ba8GaIr2.

Calculated formation energy, eV/f.u.: -1.474

a = 7.8779 Å, b = 8.1669 Å, c = 9.1544 Å
α = 89.66°, β = 73.52°, γ = 81.37°
Space group P1 (No. 1)
Symmetry-distinct sites (fractional):
Ba 0.0000 0.0000 0.0000 (multiplicity 1)
Ba 0.0071 0.4610 0.2339 (multiplicity 1)
Ba 0.0160 0.4523 0.7354 (multiplicity 1)
Ba 0.0268 0.9236 0.4819 (multiplicity 1)
Ba 0.4834 0.6933 0.6002 (multiplicity 1)
Ba 0.5002 0.2421 0.3458 (multiplicity 1)
Ba 0.5097 0.6770 0.1182 (multiplicity 1)
Ba 0.5401 0.2057 0.8679 (multiplicity 1)
Ga 0.2822 0.0783 0.6720 (multiplicity 1)
Ir 0.2442 0.5883 0.4206 (multiplicity 1)
Ir 0.7695 0.3378 0.0429 (multiplicity 1)


Entry 3:
A plane-wave DFT calculation with PBE was carried out for an optimized crystal structure of LaRuSeN2.

Formation energy (no corrections), eV per atom: -0.138
Distance to the lowest polymorph of the same formula, eV/atom: 0.000

a = 4.0350 Å, b = 4.0350 Å, c = 5.0515 Å
α = 90.00°, β = 90.00°, γ = 90.00°
Space group P4/mmm (No. 123)
Symmetry-distinct sites (fractional):
La 0.0000 0.0000 0.0000 (multiplicity 1)
Ru 0.5000 0.5000 0.5000 (multiplicity 1)
Se 0.5000 0.5000 0.0000 (multiplicity 1)
N 0.0000 0.5000 0.5000 (multiplicity 2)


Entry 4:
A plane-wave DFT calculation with PBE was carried out for an optimized crystal structure of YOsRu2.

Calculated formation energy, eV/f.u.: 2.016
Distance to the lowest polymorph of the same formula, eV/atom: 0.343

a = 2.8439 Å, b = 2.8439 Å, c = 28.3981 Å
α = 90.00°, β = 90.00°, γ = 120.00°
Space group R-3m (No. 166, hexagonal axes)
Symmetry-distinct sites (fractional):
Y 0.0000 0.0000 0.0000 (multiplicity 3)
Os 0.0000 0.0000 0.5000 (multiplicity 3)
Ru 0.0000 0.0000 0.2408 (multiplicity 6)